Record 1
VASP calculation (PBE-GGA) on an optimized crystal structure of Ba2Mg9Al3.

The structure in extended XYZ format:
```
28
Lattice="8.1233 -0.0584 -3.4329 -4.7868 7.4069 0.0218 0.1469 0.1742 11.7717" Properties=species:S:1:pos:R:3 pbc="T T T"
Ba 1.6767 1.9391 7.7185
Ba 1.8067 5.5836 0.6421
Ba 5.3782 4.4000 5.3878
Ba -1.8947 3.1227 2.9728
Mg -0.5044 6.9467 7.1632
Mg 3.9879 0.5760 1.1974
Mg 2.1667 5.4651 6.5842
Mg 1.3167 2.0576 1.7764
Mg 0.6962 4.9417 9.2348
Mg 2.7872 2.5810 -0.8741
Mg -0.5806 4.0635 6.0940
Mg 4.0641 3.4592 2.2667
Mg 6.6159 0.9970 5.8316
Mg -3.1325 6.5257 2.5290
Mg -3.4891 7.4741 10.8425
Mg 6.9726 0.0486 -2.4819
Mg 3.5318 1.3704 4.5608
Mg -0.0483 6.1522 3.7998
Mg 3.0644 6.4259 3.7881
Mg 0.4191 1.0967 4.5725
Mg 5.0879 2.3300 8.1963
Mg -1.6045 5.1926 0.1643
Al 4.0616 -0.0292 -1.7164
Al 1.7417 3.7613 4.1803
Al 6.1736 1.3613 2.9594
Al -2.6902 6.1614 5.4012
Al -0.1090 2.7968 11.1593
Al 3.5924 4.7259 -2.7987
```

Output
Its density is 2681 kg/m³. Its symmetry is C2/c.

---

Record 2
VASP calculation (PBE-GGA) on an optimized crystal structure of BaMg14Al.

The structure in extended XYZ format:
```
16
Lattice="-6.4137 -1.4293 0.9170 4.3298 -0.8517 4.9545 -1.7212 9.7654 3.1829" Properties=species:S:1:pos:R:3 pbc="T T T"
Ba -0.8606 4.8827 1.5914
Mg -4.1912 -1.8300 3.3482
Mg 1.2344 4.4264 4.1245
Mg -3.1916 -0.7359 0.5319
Mg 0.2439 3.3421 6.9154
Mg -1.1148 -1.1444 2.9083
Mg -1.8142 3.7470 4.5603
Mg 2.1146 1.2917 5.0009
Mg 1.1834 6.5747 6.7228
Mg -0.0145 1.7104 2.5646
Mg -0.9457 6.9935 4.2865
Mg -1.0392 0.5888 5.4518
Mg -1.9704 5.8718 7.1737
Mg -3.2790 1.2962 3.0884
Mg -4.1073 5.9956 4.6201
Al 0.0000 0.0000 0.0000
```

Output
Its density is 2110 kg/m³. Its symmetry is P-6m2. As for the energy above the most stable polymorph in this dataset: 0.0225 eV/atom.

---

Record 3
VASP calculation (PBE-GGA) on an optimized crystal structure of Ba2Mg12Al7.

The structure in extended XYZ format:
```
21
Lattice="4.5900 0.0000 0.0000 0.0000 9.9396 -5.7386 0.0000 0.0000 11.4772" Properties=species:S:1:pos:R:3 pbc="T T T"
Ba 1.1630 3.3132 5.7386
Ba 3.4270 6.6264 0.0000
Mg 1.1424 6.1402 -3.0062
Mg 1.1424 4.2660 1.9242
Mg 1.1424 9.4729 1.0820
Mg 3.4476 3.7994 8.7448
Mg 3.4476 5.6735 3.8145
Mg 3.4476 0.4667 4.6566
Mg 1.1256 1.1786 2.3625
Mg 1.1256 1.4567 9.2753
Mg 1.1256 7.3043 5.5781
Mg 3.4645 8.7610 3.3761
Mg 3.4645 8.4829 -3.5367
Mg 3.4645 2.6353 0.1606
Al 2.2950 0.0000 0.0000
Al 1.1498 8.7536 -1.7241
Al 1.1498 4.0697 -0.9801
Al 1.1498 7.0559 2.7042
Al 3.4402 1.1860 7.4627
Al 3.4402 5.8699 6.7187
Al 3.4402 2.8836 3.0344
```

Output
Its density is 2395 kg/m³. Its symmetry is P-3.

---

Record 4
VASP calculation (PBE-GGA) on an optimized crystal structure of Ba2Mg6Al3.

The structure in extended XYZ format:
```
11
Lattice="4.7031 0.0000 0.0000 0.0000 7.6484 -4.4158 0.0000 0.0000 8.8316" Properties=species:S:1:pos:R:3 pbc="T T T"
Ba 0.0000 5.0990 0.0000
Ba 0.0000 2.5495 4.4158
Mg 2.3516 5.4589 3.1517
Mg 2.3516 0.0000 2.5283
Mg 0.0000 1.5271 0.8817
Mg 0.0000 6.1213 -3.5341
Mg 2.3516 2.1896 -1.2641
Mg 0.0000 0.0000 7.0683
Al 2.3516 2.8694 1.6566
Al 2.3516 4.7791 -2.7592
Al 2.3516 0.0000 5.5184
```

Output
Its density is 2621 kg/m³. Its symmetry is P-62m.

---

Record 5
VASP calculation (PBE-GGA) on an optimized crystal structure of BaMgAl4.

The structure in extended XYZ format:
```
6
Lattice="-2.9795 -2.1340 4.4784 -5.7495 0.6218 0.2099 -3.4363 -4.5972 -0.7380" Properties=species:S:1:pos:R:3 pbc="T T T"
Ba -9.1240 -4.5821 2.9627
Mg 0.0000 0.0000 0.0000
Al -6.0518 -3.3572 3.7160
Al -6.2796 -4.5857 1.1146
Al -7.4332 -1.9830 1.5873
Al -4.5659 -2.2930 1.4826
```

Output
Its density is 3267 kg/m³. Its symmetry is F-43m.

---

Record 6
VASP calculation (PBE-GGA) on an optimized crystal structure of Ba2MgAl2.

The structure in extended XYZ format:
```
10
Lattice="7.8637 0.0000 0.0000 0.0000 7.8637 0.0000 0.0000 0.0000 5.4865" Properties=species:S:1:pos:R:3 pbc="T T T"
Mg 0.0000 0.0000 0.0000
Mg 3.9318 3.9318 0.0000
Ba 1.3866 5.3184 2.7432
Ba 5.3184 6.4771 2.7432
Ba 6.4771 2.5453 2.7432
Ba 2.5453 1.3866 2.7432
Al 2.9663 6.8981 0.0000
Al 6.8981 4.8974 0.0000
Al 4.8974 0.9656 0.0000
Al 0.9656 2.9663 0.0000
```

Output
Its density is 3455 kg/m³. Its symmetry is P4/mbm. As for the energy above the most stable polymorph in this dataset: 0.1135 eV/atom.

---

Record 7
VASP calculation (PBE-GGA) on an optimized crystal structure of Ba2NaMg12Al3.

The structure in extended XYZ format:
```
18
Lattice="-6.6557 -5.9218 1.2667 2.7589 -8.4738 -1.2464 0.8777 -4.4278 7.7843" Properties=species:S:1:pos:R:3 pbc="T T T"
Ba -1.7939 -11.1842 4.6373
Ba -1.2253 -7.6392 3.1674
Na 0.0000 0.0000 0.0000
Mg -0.2465 -7.5475 6.7409
Mg -3.0297 -14.0805 2.9489
Mg 0.6294 -13.3548 6.1145
Mg -4.8203 -8.4546 2.7839
Mg -3.9434 -12.1152 7.3352
Mg 0.8956 -10.0040 1.2581
Mg -2.7726 -11.2759 1.0638
Mg 0.0105 -4.7430 4.8558
Mg -3.6485 -5.4686 1.6901
Mg 1.8011 -10.3688 5.0208
Mg 0.9242 -6.7082 0.4695
Mg -3.9148 -8.8194 6.5466
Al -3.3278 -2.9609 0.6334
Al 1.3794 -4.2369 -0.6232
Al 0.4388 -2.2139 3.8921
```

Output
Its density is 1845 kg/m³. Its symmetry is R-3m.

---

Record 8
VASP calculation (PBE-GGA) on an optimized crystal structure of BaNdMgAl.

The structure in extended XYZ format:
```
4
Lattice="-4.4801 1.3837 3.1424 0.1566 -0.6961 5.5992 0.2183 4.5014 3.3986" Properties=species:S:1:pos:R:3 pbc="T T T"
Mg -2.0526 2.5945 6.0701
Nd -3.0789 3.8917 9.1052
Ba -1.0263 1.2972 3.0351
Al 0.0000 0.0000 0.0000
```

Output
Its density is 4347 kg/m³. Its symmetry is F-43m.

---

Number 1: formation enthalpy at 0 K -100 meV/atom. Number 2: formation enthalpy at 0 K 85 meV/atom. Number 3: formation enthalpy at 0 K -25 meV/atom. Number 4: formation enthalpy at 0 K -50 meV/atom. Number 5: formation enthalpy at 0 K -11 meV/atom. Number 6: formation enthalpy at 0 K -13 meV/atom. Number 7: formation enthalpy at 0 K 334 meV/atom. Number 8: formation enthalpy at 0 K -44 meV/atom.